# 1
Compound: TcBrF4
Source: Alexandria via LeMat-Bulk
Functional: PBE
Structure: relaxed

Values from the calculation:
**Space group**: P2_1/m
**Energy**: -4.85 eV/atom
**Uncorrected formation energy**: -1598.1 meV/atom

```
TcBrF4
1.0
7.309 0.000 -0.197
0.000 6.171 0.000
1.515 0.000 5.859
F Br Tc
8 2 2
direct
0.156 0.519 0.801
0.156 0.981 0.801
0.051 0.750 0.384
0.844 0.481 0.199
0.844 0.019 0.199
0.949 0.250 0.616
0.563 0.750 0.242
0.437 0.250 0.758
0.658 0.750 0.715
0.342 0.250 0.285
0.801 0.750 0.333
0.199 0.250 0.667
```


# 2
Compound: Sm2TlO
Source: Alexandria via LeMat-Bulk
Functional: PBE
Structure: relaxed

Values from the calculation:
**Space group**: P4/mmm
**Density of states at the Fermi level**: 2.590 states/eV/f.u.
**Relative energy among the computed polymorphs**: 482.2 meV per atom
**Energy**: -5.29 eV/atom
**Uncorrected formation energy**: -1097.7 meV/atom

```
Sm2TlO
1.0
3.191 0.000 0.000
0.000 3.191 0.000
0.000 0.000 8.098
Tl Sm O
1 2 1
direct
0.500 0.500 0.500
0.000 0.000 0.194
0.000 0.000 0.806
0.500 0.500 0.000
```


# 3
Compound: Cs2GeI5Cl
Source: Alexandria via LeMat-Bulk
Functional: PBE
Structure: relaxed

Values from the calculation:
**Space group**: I4mm
**Density of states at the Fermi level**: 2.270 states/eV/f.u.
**Energy**: -2.64 eV/atom
**Uncorrected formation energy**: -873.8 meV/atom

```
Cs2GeI5Cl
1.0
8.286 -0.147 -0.213
-4.064 7.223 0.213
-4.064 -2.373 6.825
I Ge Cs Cl
5 1 2 1
direct
0.000 0.234 0.234
0.478 0.234 0.234
0.522 0.756 0.756
0.000 0.234 0.756
0.000 0.756 0.234
0.000 0.995 0.995
0.500 0.748 0.248
0.500 0.248 0.748
0.000 0.796 0.796
```


# 4
Compound: Ac2InGe4Rh3
Source: Alexandria via LeMat-Bulk
Functional: PBE
Structure: relaxed

Values from the calculation:
**Energy relative to the elements**: -0.710 eV/atom
**Space group**: P-4m2
**Density of states at the Fermi level**: 4.781 states/eV/f.u.
**Energy**: -5.86 eV/atom

```
Ac2InGe4Rh3
1.0
-0.661 2.617 -3.518
-3.854 1.350 1.728
5.009 7.942 4.968
Ge Rh Ac In
4 3 2 1
direct
0.500 0.500 0.000
0.000 0.000 0.000
0.000 0.500 0.350
0.500 0.000 0.650
0.500 0.000 0.885
0.000 0.500 0.115
0.000 0.000 0.500
0.500 0.000 0.236
0.000 0.500 0.764
0.500 0.500 0.500
```


# 5
Compound: CsBa2SbPt
Source: Alexandria via LeMat-Bulk
Functional: PBE
Structure: relaxed

Values from the calculation:
**Space group**: P4/mmm
**Density of states at the Fermi level**: 1.523 states/eV/f.u.
**Energy**: -3.41 eV/atom
**Uncorrected formation energy**: -441.9 meV/atom

```
CsBa2SbPt
1.0
-4.947 -2.288 -2.737
3.028 -5.167 -1.154
-1.895 -2.306 5.352
Pt Ba Cs Sb
1 2 1 1
direct
0.000 0.000 0.000
0.000 0.500 0.000
0.500 0.000 0.000
0.000 0.000 0.500
0.500 0.500 0.500
```


# 6
Compound: Pa6VS12
Source: Alexandria via LeMat-Bulk
Functional: PBE
Structure: relaxed

Values from the calculation:
**Space group**: R-3
**Density of states at the Fermi level**: 26.373 states/eV/f.u.
**Energy**: -7.57 eV/atom
**Uncorrected formation energy**: -1483.7 meV/atom

```
Pa6VS12
1.0
-6.020 -4.888 0.009
2.806 -1.380 7.096
-3.732 6.662 1.350
S Pa V
12 6 1
direct
0.032 0.687 0.935
0.569 0.428 0.821
0.179 0.431 0.572
0.572 0.179 0.431
0.821 0.569 0.428
0.935 0.032 0.687
0.968 0.313 0.065
0.065 0.968 0.313
0.431 0.572 0.179
0.313 0.065 0.968
0.428 0.821 0.569
0.687 0.935 0.032
0.869 0.371 0.704
0.704 0.869 0.371
0.296 0.131 0.629
0.371 0.704 0.869
0.131 0.629 0.296
0.629 0.296 0.131
0.000 0.000 0.000
```


# 7
Compound: Be2NbRu
Source: Alexandria via LeMat-Bulk
Functional: PBE
Structure: relaxed

Values from the calculation:
**Energy relative to the elements**: -0.194 eV/atom
**Space group**: P4/mmm
**Density of states at the Fermi level**: 2.777 states/eV/f.u.
**Relative energy among the computed polymorphs**: 0.0 meV per atom
**Energy**: -6.89 eV/atom

```
Be2NbRu
1.0
2.910 0.000 0.000
0.000 2.910 0.000
0.000 0.000 5.739
Be Nb Ru
2 1 1
direct
0.000 0.000 0.803
0.000 0.000 0.197
0.500 0.500 0.500
0.500 0.500 0.000
```


# 8
Compound: Na6CdHg12
Source: Alexandria via LeMat-Bulk
Functional: PBE
Structure: relaxed

Values from the calculation:
**Energy relative to the elements**: -0.185 eV/atom
**Space group**: R-3
**Density of states at the Fermi level**: 6.247 states/eV/f.u.
**Energy**: -0.84 eV/atom

```
Na6CdHg12
1.0
7.988 0.272 0.326
-0.942 7.937 0.326
-0.942 -1.098 7.868
Hg Na Cd
12 6 1
direct
0.551 0.466 0.789
0.971 0.870 0.634
0.130 0.366 0.029
0.534 0.211 0.449
0.366 0.029 0.130
0.449 0.534 0.211
0.789 0.551 0.466
0.029 0.130 0.366
0.634 0.971 0.870
0.466 0.789 0.551
0.211 0.449 0.534
0.870 0.634 0.971
0.736 0.299 0.126
0.874 0.264 0.701
0.126 0.736 0.299
0.701 0.874 0.264
0.299 0.126 0.736
0.264 0.701 0.874
0.000 0.000 0.000
```


# 9
Compound: Al2BiIO
Source: Alexandria via LeMat-Bulk
Functional: PBE
Structure: relaxed

Values from the calculation:
**Space group**: P4/mmm
**Density of states at the Fermi level**: 1.339 states/eV/f.u.
**Energy**: -3.44 eV/atom
**Uncorrected formation energy**: 134.7 meV/atom

```
Al2BiIO
1.0
5.756 0.000 0.000
0.000 4.381 0.000
0.000 0.000 5.756
Bi I Al O
1 1 2 1
direct
0.000 0.000 0.000
0.500 0.500 0.500
0.000 0.000 0.500
0.500 0.000 0.000
0.000 0.500 0.000
```


# 10
Compound: ErPaAgRu
Source: Alexandria via LeMat-Bulk
Functional: PBE
Structure: relaxed

Values from the calculation:
**Energy relative to the elements**: -0.135 eV/atom
**Space group**: F-43m
**Density of states at the Fermi level**: 4.705 states/eV/f.u.
**Energy**: -6.68 eV/atom

```
ErPaAgRu
1.0
4.958 0.000 0.000
2.479 4.293 0.000
2.479 1.431 4.048
Ru Pa Er Ag
1 1 1 1
direct
0.750 0.750 0.750
0.500 0.500 0.500
0.000 0.000 0.000
0.250 0.250 0.250
```


# 11
Compound: Cs2LaGaSe4
Source: Alexandria via LeMat-Bulk
Functional: PBE
Structure: relaxed

Values from the calculation:
**Space group**: C2/c
**Energy**: -4.07 eV/atom
**Uncorrected formation energy**: -1115.1 meV/atom

```
Cs2LaGaSe4
1.0
9.026 -0.278 0.295
-0.284 9.026 0.295
-4.051 -4.053 7.072
Cs Ga Se La
4 2 8 2
direct
0.500 0.500 0.000
0.500 0.000 0.500
0.000 0.000 0.500
0.500 0.000 0.000
0.000 0.000 0.000
0.500 0.500 0.500
0.824 0.286 0.088
0.313 0.334 0.526
0.786 0.324 0.588
0.176 0.714 0.912
0.687 0.666 0.474
0.214 0.676 0.412
0.166 0.187 0.974
0.834 0.813 0.026
0.000 0.500 0.500
0.000 0.500 0.000
```


# 12
Compound: PdNF
Source: Alexandria via LeMat-Bulk
Functional: PBE
Structure: relaxed

Values from the calculation:
**Space group**: C2/m
**Relative energy among the computed polymorphs**: 52.6 meV per atom
**Energy**: -5.58 eV/atom
**Uncorrected formation energy**: -450.0 meV/atom

```
PdNF
1.0
3.093 0.000 0.000
-1.546 3.543 -0.288
0.000 -1.499 8.978
N F Pd
2 2 2
direct
0.522 0.043 0.069
0.478 0.957 0.931
0.613 0.226 0.365
0.387 0.774 0.635
0.935 0.870 0.790
0.065 0.130 0.210
```